Crystalline NaSr2Cl at its relaxed geometry. Source: Alexandria, functional PBE.

Unit cell a=6.090 b=6.090 c=6.090 alpha=60.00 beta=60.00 gamma=60.00
Atoms (fractional coordinates):
Sr  0.250  0.250  0.250
Sr  0.750  0.750  0.750
Na  0.000  0.000  0.000
Cl  0.500  0.500  0.500

Energy relative to the elements, uncorrected   -475.8 meV/atom


Crystalline ThSc3Pd4 at its relaxed geometry. Source: Alexandria, functional PBE.

Unit cell a=4.678 b=4.678 c=8.862 alpha=74.70 beta=74.70 gamma=60.00
Atoms (fractional coordinates):
Sc  0.243  0.243  0.272
Sc  0.757  0.757  0.728
Sc  0.500  0.500  0.500
Pd  0.872  0.872  0.384
Pd  0.393  0.393  0.822
Pd  0.128  0.128  0.616
Pd  0.607  0.607  0.178
Th  0.000  0.000  0.000

Energy of formation   -826 meV/atom


Crystalline ZrSc2Cd2 at its relaxed geometry. Source: Alexandria, functional PBE.

Unit cell a=3.221 b=4.620 c=8.033 alpha=73.29 beta=90.00 gamma=90.00
Atoms (fractional coordinates):
Zr  0.000  0.000  0.000
Sc  0.500  0.396  0.209
Sc  0.500  0.604  0.791
Cd  0.000  0.196  0.609
Cd  0.000  0.804  0.391

Energy of formation   -141 meV/atom


Crystalline CaAl2Re at its relaxed geometry. Source: Alexandria, functional PBE.

Unit cell a=3.284 b=3.284 c=6.940 alpha=90.00 beta=90.00 gamma=90.00
Atoms (fractional coordinates):
Re  0.500  0.500  0.750
Ca  0.500  0.500  0.250
Al  0.000  0.000  0.936
Al  0.000  0.000  0.564

Energy of formation   -97 meV/atom


Crystalline BaCdSe2 at its relaxed geometry. Source: Alexandria, functional PBE.

Unit cell a=5.700 b=5.700 c=5.700 alpha=134.16 beta=109.46 gamma=88.29
Atoms (fractional coordinates):
Ba  0.750  0.250  0.500
Cd  0.250  0.750  0.500
Se  0.038  0.038  0.000
Se  0.462  0.462  0.000

Energy relative to the elements, uncorrected   -1056.1 meV/atom


Crystalline Rb2SnSb at its relaxed geometry. Source: Alexandria, functional PBE.

Unit cell a=6.128 b=5.770 c=7.184 alpha=117.26 beta=117.08 gamma=85.05
Atoms (fractional coordinates):
Rb  0.180  0.039  0.356
Rb  0.825  0.707  0.645
Sn  0.474  0.152  0.006
Sb  0.520  0.638  0.993

Energy relative to the elements, uncorrected   -169.9 meV/atom


Crystalline CsBePS at its relaxed geometry. Source: Alexandria, functional PBE.

Unit cell a=3.865 b=5.063 c=5.902 alpha=96.31 beta=92.56 gamma=110.50
Atoms (fractional coordinates):
Cs  0.983  0.326  0.653
P  0.544  0.656  0.215
S  0.483  0.211  0.124
Be  0.117  0.834  0.182

Energy relative to the elements, uncorrected   -498.1 meV/atom


Number 1: mass density 2.429 g/cm³. Number 2: mass density 8.229 g/cm³. Number 3: mass density 5.887 g/cm³. Number 4: mass density 6.219 g/cm³. Number 5: mass density 5.664 g/cm³. Number 6: mass density 3.439 g/cm³. Number 7: mass density 3.178 g/cm³.